# NbAs2OsBr (GGA-PBE, relaxed)
# energy relative to the lowest polymorph listed for this composition = 0 meV/atom
# calculated volume = 117.7 Å³ per cell
# energy relative to the elements, uncorrected = 1.03 eV/atom
# space group = No. 123
data_NbAs2OsBr
_symmetry_space_group_name_H-M 'P 1'
_symmetry_Int_Tables_number 1
_cell_length_a 4.713
_cell_length_b 4.713
_cell_length_c 5.297
_cell_angle_alpha 90.00
_cell_angle_beta 90.00
_cell_angle_gamma 90.00
loop_
_symmetry_equiv_pos_as_xyz
'x,y,z'
loop_
_atom_site_label
_atom_site_type_symbol
_atom_site_fract_x
_atom_site_fract_y
_atom_site_fract_z
Nb1 Nb 0.500 0.500 0.500
Os1 Os 0.000 0.000 0.000
As1 As 0.000 0.500 0.000
As2 As 0.500 0.000 0.000
Br1 Br 0.000 0.000 0.500


# Pm9Nd4Sm11 (GGA-PBE, relaxed)
# formation energy = 6 kJ/mol of atoms
# calculated volume = 830.1 Å³ per cell
# space group = No. 65
data_Pm9Nd4Sm11
_symmetry_space_group_name_H-M 'P 1'
_symmetry_Int_Tables_number 1
_cell_length_a 3.747
_cell_length_b 15.554
_cell_length_c 15.554
_cell_angle_alpha 113.68
_cell_angle_beta 90.00
_cell_angle_gamma 90.00
loop_
_symmetry_equiv_pos_as_xyz
'x,y,z'
loop_
_atom_site_label
_atom_site_type_symbol
_atom_site_fract_x
_atom_site_fract_y
_atom_site_fract_z
Pm1 Pm 0.500 0.631 0.164
Pm2 Pm 0.500 0.369 0.836
Pm3 Pm 0.500 0.164 0.631
Pm4 Pm 0.500 0.836 0.369
Pm5 Pm 0.500 0.790 0.939
Pm6 Pm 0.500 0.210 0.061
Pm7 Pm 0.500 0.939 0.790
Pm8 Pm 0.500 0.061 0.210
Pm9 Pm 0.500 0.500 0.500
Nd1 Nd 0.500 0.557 0.757
Nd2 Nd 0.500 0.443 0.243
Nd3 Nd 0.500 0.757 0.557
Nd4 Nd 0.500 0.243 0.443
Sm1 Sm 0.000 0.596 0.957
Sm2 Sm 0.000 0.404 0.043
Sm3 Sm 0.000 0.957 0.596
Sm4 Sm 0.000 0.043 0.404
Sm5 Sm 0.000 0.633 0.367
Sm6 Sm 0.000 0.367 0.633
Sm7 Sm 0.000 0.837 0.163
Sm8 Sm 0.000 0.163 0.837
Sm9 Sm 0.000 0.000 0.000
Sm10 Sm 0.000 0.714 0.714
Sm11 Sm 0.000 0.286 0.286


# Pm8ThSi4 (GGA-PBE, relaxed)
# calculated volume = 352.1 Å³ per cell
# energy relative to the elements, uncorrected = -0.26 eV/atom
# space group = No. 139
data_Pm8ThSi4
_symmetry_space_group_name_H-M 'P 1'
_symmetry_Int_Tables_number 1
_cell_length_a 6.254
_cell_length_b 8.128
_cell_length_c 8.128
_cell_angle_alpha 81.49
_cell_angle_beta 67.37
_cell_angle_gamma 67.37
loop_
_symmetry_equiv_pos_as_xyz
'x,y,z'
loop_
_atom_site_label
_atom_site_type_symbol
_atom_site_fract_x
_atom_site_fract_y
_atom_site_fract_z
Pm1 Pm 0.000 0.325 0.675
Pm2 Pm 0.000 0.675 0.325
Pm3 Pm 0.325 0.675 0.675
Pm4 Pm 0.675 0.325 0.325
Pm5 Pm 0.500 0.787 0.213
Pm6 Pm 0.500 0.213 0.787
Pm7 Pm 0.287 0.213 0.213
Pm8 Pm 0.713 0.787 0.787
Th1 Th 0.000 0.000 0.000
Si1 Si 0.000 0.000 0.500
Si2 Si 0.500 0.000 0.500
Si3 Si 0.000 0.500 0.000
Si4 Si 0.500 0.500 0.000


Number 1: mass density 7.24 Mg/m³, DOS(E_F) 3.60 states/eV per cell. Number 2: mass density 7.07 Mg/m³, DOS(E_F) 32.44 states/eV per cell. Number 3: mass density 7.10 Mg/m³, DOS(E_F) 12.04 states/eV per cell.